# HgAsP2Cl (PBE, optimized geometry)
# - Uncorrected energy: -2.8635 eV per atom
# - Distance to the lowest polymorph of the same formula: 0.0 kJ per mole of atoms
data_HgAsP2Cl
_cell_length_a 4.857
_cell_length_b 4.857
_cell_length_c 4.993
_cell_angle_alpha 90.00
_cell_angle_beta 90.00
_cell_angle_gamma 90.00
_space_group_name_H-M_alt 'P 4/m m m'
_space_group_IT_number 123
_space_group_name_Hall '-P 4 2'
loop_
_atom_site_label
_atom_site_type_symbol
_atom_site_fract_x
_atom_site_fract_y
_atom_site_fract_z
_atom_site_occupancy
Hg1 Hg 0.000 0.000 0.000 1
As1 As 0.500 0.500 0.500 1
P1 P 0.000 0.500 0.500 1
Cl1 Cl 0.500 0.500 0.000 1